{"formula": "Si2Sb", "functional": "PBE", "state": "relaxed", "cell": [[-0.365, -3.794, 2.696], [-0.927, -4.151, -1.925], [3.304, -3.295, -0.148]], "species": ["Sb", "Si", "Si"], "frac_coords": [[0.000, 0.000, 0.000], [0.750, 0.750, 0.750], [0.250, 0.250, 0.250]], "magmom_total_mub_per_atom": 0.0000, "density_g_cm3": 4.11, "final_energy_ev_per_atom": -4.184, "polymorph_energy_kj_per_mol_atoms": 51.8, "volume_a3_per_cell": 71.94, "crystal_system": "cubic", "e_form_raw_ev_per_atom": 0.806}